Ga2HgTeOs PBE-GGA relaxed; final energy = -2.88 eV per atom; mass density = 8.3 g/cm3
1.0
-1.589 -4.659 0.847
0.504 -1.108 -5.147
4.712 -1.465 0.777
Ga Te Os Hg
2 1 1 1
direct
0.000 0.000 0.500 Ga
0.500 0.000 0.000 Ga
0.500 0.500 0.500 Te
0.000 0.500 0.000 Os
0.000 0.000 0.000 Hg



SrScTe2 PBE-GGA relaxed; polymorph energy (0 for the lowest one) = 0.000 eV/atom; mass density = 5.2 g/cm3
1.0
4.383 -0.005 0.001
2.197 3.792 0.001
2.184 1.257 7.401
Te Sr Sc
2 1 1
direct
0.989 0.989 0.032 Te
0.511 0.511 0.468 Te
0.750 0.750 0.750 Sr
0.250 0.250 0.250 Sc



SmAl3Ga PBE-GGA relaxed; formation enthalpy at 0 K = -0.706 eV per formula unit; polymorph energy (0 for the lowest one) = 0.217 eV/atom; mass density = 4.8 g/cm3
1.0
-0.260 -3.007 -0.393
2.370 -0.855 4.977
-11.158 0.264 5.359
Al Ga Sm
6 2 2
direct
0.500 0.999 0.393 Al
0.500 0.000 0.000 Al
0.500 0.500 0.000 Al
0.500 0.499 0.607 Al
0.500 0.501 0.393 Al
0.500 0.001 0.607 Al
0.500 0.250 0.200 Ga
0.500 0.750 0.800 Ga
0.000 0.750 0.197 Sm
0.000 0.250 0.803 Sm



TmScBiPb PBE-GGA relaxed; formation enthalpy at 0 K = -1.824 eV per formula unit; mass density = 9.0 g/cm3
1.0
-0.390 4.147 -1.285
-1.885 -1.319 -3.686
-5.517 0.307 2.665
Bi Sc Tm Pb
1 1 1 1
direct
0.500 0.391 0.092 Bi
0.500 0.392 0.593 Sc
0.000 0.891 0.092 Tm
0.000 0.892 0.592 Pb



no.,total magnetic moment (μB per cell)
1,1.84
2,0.00
3,0.00
4,0.00